First-principles (PBE) data for a relaxed structure of TbEr2Pb, as listed in the Alexandria database. Values from VASP.

E_form: -0.09 eV per atom

Cell and atoms, written as Quantum ESPRESSO input:
```
&SYSTEM
  ibrav = 0, nat = 4, ntyp = 3
/
ATOMIC_SPECIES
Tb 158.93 Tb.upf
Er 167.26 Er.upf
Pb 207.20 Pb.upf
CELL_PARAMETERS angstrom
5.457 0.000 0.000
2.728 4.726 0.000
2.728 1.575 4.455
ATOMIC_POSITIONS angstrom
Tb 5.457 3.150 2.229
Er 2.728 1.575 4.454
Er 2.728 1.575 1.113
Pb 8.185 4.726 3.342
```


First-principles (PBE) data for a relaxed structure of YZrSe2, as listed in the Alexandria database. Values from VASP.

Cell and atoms, written as Quantum ESPRESSO input:
```
&SYSTEM
  ibrav = 0, nat = 4, ntyp = 3
/
ATOMIC_SPECIES
Y 88.91 Y.upf
Zr 91.22 Zr.upf
Se 78.96 Se.upf
CELL_PARAMETERS angstrom
3.809 0.000 0.000
1.905 3.299 0.000
1.905 1.100 7.147
ATOMIC_POSITIONS angstrom
Y 3.809 2.199 3.623
Zr 5.714 3.299 7.100
Se 1.905 1.100 5.454
Se 1.905 1.100 1.690
```


First-principles (PBE) data for a relaxed structure of Sr2TaRh, as listed in the Alexandria database. Values from VASP.

E_form: 0.20 eV per atom

Cell and atoms, written as Quantum ESPRESSO input:
```
&SYSTEM
  ibrav = 0, nat = 4, ntyp = 3
/
ATOMIC_SPECIES
Rh 102.91 Rh.upf
Sr 87.62 Sr.upf
Ta 180.95 Ta.upf
CELL_PARAMETERS angstrom
-1.238 -2.635 -9.124
3.939 -2.366 -8.402
-1.587 -0.015 9.445
ATOMIC_POSITIONS angstrom
Rh 1.852 -2.441 -3.860
Sr 0.268 -0.495 -1.736
Sr 1.083 -2.005 -7.027
Ta -0.737 -2.575 -4.221
```


These records have energy above the lowest structure with this stoichiometry values of 199 57 100 meV per atom, in the order they appear.